DFT (PBE-GGA) results for a geometry-optimized TcAg2Rh structure.

- D(E_F) (states/eV/atom) = 1.6015
- energy above the most stable polymorph in this dataset (kcal/mol of atoms) = 6.380
- size of the total moment (μB per formula unit) = 1.0
- V (Å³/atom) = 15.9
- energy of formation from the pure elements (eV/atom) = 0.442

Lattice parameters (Å, degrees): 2.775 2.775 28.607 90.00 90.00 120.00
Sites, in units of the cell vectors:
1 Tc 0.000 0.000 0.000
2 Tc 0.333 0.667 0.667
3 Tc 0.667 0.333 0.333
4 Ag 0.000 0.000 0.250
5 Ag 0.000 0.000 0.750
6 Ag 0.333 0.667 0.417
7 Ag 0.333 0.667 0.916
8 Ag 0.667 0.333 0.084
9 Ag 0.667 0.333 0.583
10 Rh 0.000 0.000 0.500
11 Rh 0.333 0.667 0.167
12 Rh 0.667 0.333 0.833